# LiCu8Pd2 PBE relaxed
# N(E_F) ... 8.61 states/eV per cell
# Magnetization ... 0.00 μB/atom
# Formation energy ... 0.03 eV/atom
# E above lowest polymorph ... 26 meV/atom
data_LiCu8Pd2
_cell_length_a 4.1817
_cell_length_b 6.0960
_cell_length_c 11.2923
_cell_angle_alpha 90.00
_cell_angle_beta 90.00
_cell_angle_gamma 90.00
_space_group_name_H-M_alt 'I m m m'
_space_group_IT_number 71
_space_group_name_Hall '-I 2 2'
loop_
_atom_site_label
_atom_site_type_symbol
_atom_site_fract_x
_atom_site_fract_y
_atom_site_fract_z
Li1 Li 0.0000 0.0000 0.0000
Cu1 Cu 0.0000 0.2113 0.5000
Cu2 Cu 0.0000 0.2955 0.1320
Cu3 Cu 0.0000 0.5000 0.3442
Pd1 Pd 0.0000 0.0000 0.2960

---

# LiCu3Pd2 PBE relaxed
# N(E_F) ... 3.78 states/eV per cell
# Magnetization ... 0.00 μB/atom
# Formation energy ... -0.18 eV/atom
# E above lowest polymorph ... 0 meV/atom
data_LiCu3Pd2
_cell_length_a 3.7471
_cell_length_b 11.2396
_cell_length_c 3.7663
_cell_angle_alpha 90.00
_cell_angle_beta 90.37
_cell_angle_gamma 90.00
_space_group_name_H-M_alt 'C 1 2/m 1'
_space_group_IT_number 12
loop_
_space_group_symop_operation_xyz
'x,y,z'
'-x,-y,-z'
'-x,y,-z'
'x,-y,z'
'x+1/2,y+1/2,z'
'-x+1/2,-y+1/2,-z'
'-x+1/2,y+1/2,-z'
'x+1/2,-y+1/2,z'
loop_
_atom_site_label
_atom_site_type_symbol
_atom_site_fract_x
_atom_site_fract_y
_atom_site_fract_z
Li1 Li 0.0000 0.0000 0.0000
Cu1 Cu 0.0000 0.1681 0.5000
Cu2 Cu 0.0000 0.5000 0.5000
Pd1 Pd 0.0000 0.3412 0.0000

---

# LiCu6Pd2 PBE relaxed
# N(E_F) ... 6.46 states/eV per cell
# Magnetization ... 0.00 μB/atom
# Formation energy ... -0.02 eV/atom
# E above lowest polymorph ... 0 meV/atom
data_LiCu6Pd2
_cell_length_a 7.1404
_cell_length_b 5.5855
_cell_length_c 6.3989
_cell_angle_alpha 90.00
_cell_angle_beta 108.02
_cell_angle_gamma 90.00
_space_group_name_H-M_alt 'C 1 2/m 1'
_space_group_IT_number 12
loop_
_space_group_symop_operation_xyz
'x,y,z'
'-x,-y,-z'
'-x,y,-z'
'x,-y,z'
'x+1/2,y+1/2,z'
'-x+1/2,-y+1/2,-z'
'-x+1/2,y+1/2,-z'
'x+1/2,-y+1/2,z'
loop_
_atom_site_label
_atom_site_type_symbol
_atom_site_fract_x
_atom_site_fract_y
_atom_site_fract_z
Li1 Li 0.0000 0.0000 0.0000
Cu1 Cu 0.0616 0.2824 0.7196
Cu2 Cu 0.1719 0.5000 0.0863
Pd1 Pd 0.2220 0.0000 0.4900

---

# Li4Cu3Pd2 PBE relaxed
# N(E_F) ... 3.20 states/eV per cell
# Magnetization ... 0.00 μB/atom
# Formation energy ... -0.22 eV/atom
data_Li4Cu3Pd2
_cell_length_a 8.6650
_cell_length_b 2.8256
_cell_length_c 10.7112
_cell_angle_alpha 90.00
_cell_angle_beta 112.95
_cell_angle_gamma 90.00
_space_group_name_H-M_alt 'C 1 2/m 1'
_space_group_IT_number 12
loop_
_space_group_symop_operation_xyz
'x,y,z'
'-x,-y,-z'
'-x,y,-z'
'x,-y,z'
'x+1/2,y+1/2,z'
'-x+1/2,-y+1/2,-z'
'-x+1/2,y+1/2,-z'
'x+1/2,-y+1/2,z'
loop_
_atom_site_label
_atom_site_type_symbol
_atom_site_fract_x
_atom_site_fract_y
_atom_site_fract_z
Li1 Li 0.0039 0.0000 0.3453
Li2 Li 0.1606 0.5000 0.8847
Cu1 Cu 0.0000 0.0000 0.0000
Cu2 Cu 0.1749 0.5000 0.5582
Pd1 Pd 0.1656 0.5000 0.2186